(1)
{"formula": "Na3Pb2", "functional": "PBE", "state": "optimized geometry", "lattice_angstrom": [[6.716, 0.119, -0.037], [0.043, 6.965, -0.092], [-0.123, -0.284, 6.959]], "species": ["Na", "Na", "Na", "Na", "Na", "Na", "Pb", "Pb", "Pb", "Pb"], "fractional_positions": [[0.584, 0.438, 0.751], [0.916, 0.751, 0.438], [0.250, 0.065, 0.065], [0.750, 0.935, 0.935], [0.084, 0.249, 0.562], [0.416, 0.562, 0.249], [0.879, 0.377, 0.129], [0.621, 0.129, 0.377], [0.379, 0.871, 0.623], [0.121, 0.623, 0.871]], "relative_energy_mev_per_atom": 11, "volume_a3_per_cell": 325, "m_tot_mub_per_fu": 0.00, "crystal_system": "monoclinic", "dos_ef_per_ev_atom": 0.280, "dft_energy_ev_per_atom": -2.37, "sg": "C2/c"}



(2)
{"formula": "NdPu2HfN4", "functional": "PBE", "state": "optimized geometry", "lattice_angstrom": [[-2.441, 1.252, -2.064], [3.145, -1.824, -4.826], [-3.657, -4.339, 1.694]], "species": ["Nd", "Pu", "Pu", "Hf", "N", "N", "N", "N"], "fractional_positions": [[0.500, 0.500, 0.000], [0.500, 0.000, 0.500], [0.000, 0.500, 0.500], [0.000, 0.000, 0.000], [0.500, 0.221, 0.236], [0.500, 0.779, 0.764], [0.000, 0.218, 0.746], [0.000, 0.782, 0.254]], "volume_a3_per_cell": 116, "raw_formation_energy_ev_per_atom": -1.41, "m_tot_mub_per_fu": 9.63, "crystal_system": "monoclinic", "dos_ef_per_ev_atom": 1.578, "dft_energy_ev_per_atom": -10.99, "sg": "P2/m"}



(3)
{"formula": "TcPt2N2", "functional": "PBE", "state": "optimized geometry", "lattice_angstrom": [[3.430, 0.000, 0.000], [0.000, 3.430, 0.000], [1.715, 1.715, 5.411]], "species": ["Tc", "Pt", "Pt", "N", "N"], "fractional_positions": [[0.000, 0.000, 0.000], [0.372, 0.372, 0.257], [0.628, 0.628, 0.743], [0.750, 0.250, 0.500], [0.250, 0.750, 0.500]], "relative_energy_mev_per_atom": 0, "volume_a3_per_cell": 64, "raw_formation_energy_ev_per_atom": 1.25, "m_tot_mub_per_fu": 1.69, "crystal_system": "tetragonal", "dos_ef_per_ev_atom": 0.649, "dft_energy_ev_per_atom": -6.57, "sg": "I4/mmm"}



(4)
{"formula": "Zn2CrPt", "functional": "PBE", "state": "optimized geometry", "lattice_angstrom": [[4.735, -0.045, 0.085], [3.900, 2.684, 0.085], [0.756, 0.231, 4.579]], "species": ["Cr", "Pt", "Zn", "Zn"], "fractional_positions": [[0.504, 0.504, 0.497], [0.248, 0.248, 0.255], [0.996, 0.996, 0.997], [0.753, 0.753, 0.751]], "volume_a3_per_cell": 59, "m_tot_mub_per_fu": 3.39, "crystal_system": "monoclinic", "dos_ef_per_ev_atom": 0.651, "dft_energy_ev_per_atom": -4.66, "sg": "Cm"}



(5)
{"formula": "PrMgAlZn2", "functional": "PBE", "state": "optimized geometry", "lattice_angstrom": [[-1.009, 3.565, 2.281], [-1.102, -2.485, 3.397], [6.265, -0.272, -0.953]], "species": ["Pr", "Mg", "Al", "Zn", "Zn"], "fractional_positions": [[0.000, 0.000, 0.000], [0.750, 0.250, 0.500], [0.250, 0.750, 0.500], [0.611, 0.611, 0.222], [0.389, 0.389, 0.778]], "volume_a3_per_cell": 105, "m_tot_mub_per_fu": 0.00, "crystal_system": "tetragonal", "dos_ef_per_ev_atom": 0.735, "dft_energy_ev_per_atom": -2.86, "sg": "I-4m2"}



(6)
{"formula": "CaGaPS2", "functional": "PBE", "state": "optimized geometry", "lattice_angstrom": [[4.898, 0.000, 0.000], [0.000, 4.898, 0.000], [0.000, 0.000, 4.601]], "species": ["P", "Ca", "S", "S", "Ga"], "fractional_positions": [[0.000, 0.000, 0.500], [0.500, 0.500, 0.500], [0.000, 0.500, 0.000], [0.500, 0.000, 0.000], [0.000, 0.000, 0.000]], "relative_energy_mev_per_atom": 0, "volume_a3_per_cell": 110, "raw_formation_energy_ev_per_atom": -0.31, "m_tot_mub_per_fu": 0.93, "crystal_system": "tetragonal", "dos_ef_per_ev_atom": 0.667, "dft_energy_ev_per_atom": -4.05, "sg": "P4/mmm"}



(7)
{"formula": "Hf3V5P12", "functional": "PBE", "state": "optimized geometry", "lattice_angstrom": [[-11.071, -3.046, 5.017], [7.040, -10.302, -1.152], [5.830, 8.234, 7.432]], "species": ["Hf", "Hf", "Hf", "Hf", "Hf", "Hf", "Hf", "Hf", "Hf", "Hf", "Hf", "Hf", "V", "V", "V", "V", "V", "V", "V", "V", "V", "V", "V", "V", "V", "V", "V", "V", "V", "V", "V", "V", "P", "P", "P", "P", "P", "P", "P", "P", "P", "P", "P", "P", "P", "P", "P", "P", "P", "P", "P", "P", "P", "P", "P", "P", "P", "P", "P", "P", "P", "P", "P", "P", "P", "P", "P", "P", "P", "P", "P", "P", "P", "P", "P", "P", "P", "P", "P", "P"], "fractional_positions": [[0.750, 0.375, 0.125], [0.875, 0.750, 0.125], [0.375, 0.750, 0.625], [0.250, 0.125, 0.375], [0.875, 0.125, 0.250], [0.375, 0.625, 0.250], [0.625, 0.375, 0.750], [0.125, 0.875, 0.750], [0.750, 0.875, 0.625], [0.625, 0.250, 0.375], [0.125, 0.250, 0.875], [0.250, 0.625, 0.875], [0.125, 0.375, 0.250], [0.000, 0.500, 0.000], [0.000, 0.000, 0.000], [0.375, 0.250, 0.125], [0.500, 0.000, 0.500], [0.500, 0.500, 0.000], [0.125, 0.750, 0.375], [0.750, 0.125, 0.875], [0.750, 0.625, 0.375], [0.375, 0.125, 0.750], [0.625, 0.875, 0.250], [0.500, 0.500, 0.500], [0.500, 0.000, 0.000], [0.000, 0.000, 0.500], [0.250, 0.375, 0.625], [0.250, 0.875, 0.125], [0.000, 0.500, 0.500], [0.875, 0.250, 0.625], [0.625, 0.750, 0.875], [0.875, 0.625, 0.750], [0.723, 0.123, 0.044], [0.321, 0.544, 0.421], [0.956, 0.377, 0.277], [0.544, 0.223, 0.123], [0.600, 0.723, 0.679], [0.956, 0.579, 0.179], [0.321, 0.777, 0.400], [0.079, 0.900, 0.123], [0.579, 0.956, 0.679], [0.723, 0.600, 0.179], [0.777, 0.456, 0.377], [0.821, 0.921, 0.044], [0.123, 0.723, 0.544], [0.377, 0.421, 0.100], [0.100, 0.921, 0.377], [0.400, 0.123, 0.579], [0.100, 0.179, 0.223], [0.456, 0.679, 0.079], [0.821, 0.900, 0.277], [0.123, 0.400, 0.079], [0.377, 0.956, 0.777], [0.579, 0.623, 0.400], [0.921, 0.821, 0.544], [0.777, 0.321, 0.900], [0.421, 0.377, 0.600], [0.079, 0.179, 0.456], [0.223, 0.679, 0.100], [0.179, 0.100, 0.723], [0.623, 0.044, 0.223], [0.877, 0.600, 0.921], [0.544, 0.321, 0.921], [0.600, 0.877, 0.421], [0.900, 0.821, 0.777], [0.900, 0.079, 0.623], [0.877, 0.277, 0.456], [0.179, 0.079, 0.956], [0.623, 0.579, 0.900], [0.421, 0.044, 0.321], [0.277, 0.400, 0.821], [0.223, 0.544, 0.623], [0.921, 0.100, 0.877], [0.679, 0.223, 0.600], [0.456, 0.777, 0.877], [0.044, 0.421, 0.821], [0.400, 0.277, 0.321], [0.044, 0.623, 0.723], [0.679, 0.456, 0.579], [0.277, 0.877, 0.956]], "volume_a3_per_cell": 1515, "m_tot_mub_per_fu": 4.01, "crystal_system": "cubic", "dos_ef_per_ev_atom": 1.079, "dft_energy_ev_per_atom": -7.21, "sg": "Ia-3d"}



(8)
{"formula": "Ba2SrBr", "functional": "PBE", "state": "optimized geometry", "lattice_angstrom": [[4.357, 0.000, 0.000], [0.000, 7.501, -0.014], [0.000, 3.944, 6.391]], "species": ["Sr", "Ba", "Ba", "Br"], "fractional_positions": [[0.500, 0.681, 0.690], [0.000, 0.997, 0.993], [0.500, 0.310, 0.317], [0.000, 0.512, 0.500]], "relative_energy_mev_per_atom": 78, "volume_a3_per_cell": 209, "raw_formation_energy_ev_per_atom": -0.67, "m_tot_mub_per_fu": 0.49, "crystal_system": "monoclinic", "dos_ef_per_ev_atom": 1.426, "dft_energy_ev_per_atom": -2.47, "sg": "Pm"}



(9)
{"formula": "La2PrY6", "functional": "PBE", "state": "optimized geometry", "lattice_angstrom": [[6.642, 0.111, 2.255], [2.168, 9.550, 4.050], [0.141, 2.089, 10.388]], "species": ["La", "La", "La", "La", "Pr", "Pr", "Y", "Y", "Y", "Y", "Y", "Y", "Y", "Y", "Y", "Y", "Y", "Y"], "fractional_positions": [[0.083, 0.667, 0.667], [0.417, 0.333, 0.333], [0.917, 0.333, 0.333], [0.583, 0.667, 0.667], [0.250, 0.000, 0.000], [0.750, 0.000, 0.000], [0.499, 0.669, 0.334], [0.001, 0.666, 0.331], [0.501, 0.331, 0.666], [0.999, 0.334, 0.669], [0.835, 0.999, 0.332], [0.665, 0.668, 0.001], [0.165, 0.001, 0.668], [0.335, 0.332, 0.999], [0.167, 0.667, 0.999], [0.333, 0.001, 0.333], [0.833, 0.333, 0.001], [0.667, 0.999, 0.667]], "relative_energy_mev_per_atom": 0, "volume_a3_per_cell": 607, "m_tot_mub_per_fu": 0.00, "crystal_system": "orthorhombic", "dos_ef_per_ev_atom": 1.629, "dft_energy_ev_per_atom": -5.87, "sg": "Ibam"}



(10)
{"formula": "VS2Cl", "functional": "PBE", "state": "optimized geometry", "lattice_angstrom": [[0.000, 3.154, 3.154], [3.154, 0.000, 3.154], [3.154, 3.154, 0.000]], "species": ["S", "S", "V", "Cl"], "fractional_positions": [[0.250, 0.250, 0.250], [0.750, 0.750, 0.750], [0.500, 0.500, 0.500], [0.000, 0.000, 0.000]], "relative_energy_mev_per_atom": 1053, "volume_a3_per_cell": 63, "raw_formation_energy_ev_per_atom": 0.37, "m_tot_mub_per_fu": 1.05, "crystal_system": "cubic", "dos_ef_per_ev_atom": 1.146, "dft_energy_ev_per_atom": -4.43, "sg": "Fm-3m"}



(11)
{"formula": "LaHgSbI2", "functional": "PBE", "state": "optimized geometry", "lattice_angstrom": [[5.725, 0.000, 0.000], [0.000, 5.725, 0.000], [0.000, 0.000, 5.771]], "species": ["I", "I", "Sb", "Hg", "La"], "fractional_positions": [[0.000, 0.500, 0.000], [0.500, 0.000, 0.000], [0.000, 0.000, 0.500], [0.000, 0.000, 0.000], [0.500, 0.500, 0.500]], "relative_energy_mev_per_atom": 426, "volume_a3_per_cell": 189, "raw_formation_energy_ev_per_atom": -0.09, "m_tot_mub_per_fu": 0.19, "crystal_system": "tetragonal", "dos_ef_per_ev_atom": 0.828, "dft_energy_ev_per_atom": -2.58, "sg": "P4/mmm"}



(12)
{"formula": "Ce2BiCl", "functional": "PBE", "state": "optimized geometry", "lattice_angstrom": [[-3.250, 2.097, 3.797], [-5.100, 1.352, -1.243], [-4.129, -2.922, 1.947]], "species": ["Bi", "Ce", "Ce", "Cl"], "fractional_positions": [[0.000, 0.000, 0.000], [0.250, 0.250, 0.250], [0.750, 0.750, 0.750], [0.500, 0.500, 0.500]], "relative_energy_mev_per_atom": 139, "volume_a3_per_cell": 113, "raw_formation_energy_ev_per_atom": -0.95, "m_tot_mub_per_fu": 3.58, "crystal_system": "cubic", "dos_ef_per_ev_atom": 3.515, "dft_energy_ev_per_atom": -5.34, "sg": "Fm-3m"}